1:
Here is a geometry-optimized Sm2Ho2CICl4 structure from the Open Quantum Materials Database. Energies are from PBE-GGA.

a = 8.7805 Å, b = 8.7805 Å, c = 8.7104 Å
α = 104.20°, β = 104.20°, γ = 25.34°
Last column: nearest neighbours and their distance in Å.
Fractional coordinates of all 10 atoms:
Sm 0.9998 0.9998 0.1945  2 C 2.57, 2 Cl 2.83-2.87
Sm 0.0002 0.0002 0.8055  2 C 2.57, 2 Cl 2.83-2.87
Ho 0.3567 0.3567 0.9256  1 C 2.38
Ho 0.6433 0.6433 0.0744  1 C 2.38
C 0.5000 0.5000 0.0000  2 Ho 2.38, 4 Sm 2.57
I 0.5000 0.5000 0.5000  4 Sm 3.28
Cl 0.1702 0.1702 0.2988  2 Ho 2.70, 1 Sm 2.83
Cl 0.1730 0.1730 0.8706  3 Ho 2.75-3.06, 1 Sm 2.87
Cl 0.8270 0.8270 0.1294  3 Ho 2.75-3.06, 1 Sm 2.87
Cl 0.8298 0.8298 0.7012  2 Ho 2.70, 1 Sm 2.83

Values from the calculation:
symmetry = C2/m (12)

---

2:
Here is a geometry-optimized Sm2Ho2CICl4 structure from the Open Quantum Materials Database. Energies are from PBE-GGA.

a = 8.8459 Å, b = 8.8459 Å, c = 8.4202 Å
α = 105.11°, β = 105.11°, γ = 24.97°
Last column: nearest neighbours and their distance in Å.
Fractional coordinates of all 10 atoms:
Sm 0.1475 0.1475 0.0844  1 C 2.46
Sm 0.8525 0.8525 0.9156  1 C 2.46
Ho 0.4997 0.4997 0.1916  2 C 2.50, 1 Cl 2.74
Ho 0.5003 0.5003 0.8084  2 C 2.50, 1 Cl 2.74
C 0.0000 0.0000 0.0000  2 Sm 2.46, 4 Ho 2.50
I 0.0000 0.0000 0.5000  4 Ho 3.22
Cl 0.3332 0.3332 0.1506  1 Ho 2.80, 3 Sm 2.83-3.11
Cl 0.3375 0.3375 0.6700  1 Ho 2.74, 2 Sm 2.78
Cl 0.6625 0.6625 0.3300  1 Ho 2.74, 2 Sm 2.78
Cl 0.6668 0.6668 0.8494  1 Ho 2.80, 3 Sm 2.83-3.11

Values from the calculation:
symmetry = C2/m (12)

---

Need the numbers? Relative energies in meV/atom: 1 0; 2 6.

---

1:
Here is a geometry-optimized Y2Ho2CI3Cl2 structure from the Open Quantum Materials Database. Energies are from PBE-GGA.

a = 9.2280 Å, b = 9.2280 Å, c = 8.5605 Å
α = 102.46°, β = 102.46°, γ = 24.36°
Last column: nearest neighbours and their distance in Å.
Fractional coordinates of all 10 atoms:
Y 0.0006 0.0006 0.3096  2 C 2.54
Y 0.9994 0.9994 0.6904  2 C 2.54
Ho 0.3656 0.3656 0.4411  1 C 2.37
Ho 0.6344 0.6344 0.5589  1 C 2.37
C 0.5000 0.5000 0.5000  2 Ho 2.37, 4 Y 2.54
I 0.1737 0.1737 0.8335  2 Ho 3.01, 1 Y 3.11
I 0.5000 0.5000 0.0000  4 Y 3.29
I 0.8263 0.8263 0.1665  2 Ho 3.01, 1 Y 3.11
Cl 0.1617 0.1617 0.3537  2 Ho 2.74, 1 Y 2.85
Cl 0.8383 0.8383 0.6463  2 Ho 2.74, 1 Y 2.85

Values from the calculation:
symmetry = C2/m (12)

---

2:
Here is a geometry-optimized Y2Ho2CI3Cl2 structure from the Open Quantum Materials Database. Energies are from PBE-GGA.

a = 9.3539 Å, b = 9.3539 Å, c = 8.4640 Å
α = 100.41°, β = 100.41°, γ = 24.00°
Last column: nearest neighbours and their distance in Å.
Fractional coordinates of all 10 atoms:
Y 0.0016 0.0016 0.3088  2 C 2.53, 1 Cl 2.76
Y 0.9984 0.9984 0.6912  2 C 2.53, 1 Cl 2.76
Ho 0.3674 0.3674 0.4347  1 C 2.39
Ho 0.6326 0.6326 0.5653  1 C 2.39
C 0.5000 0.5000 0.5000  2 Ho 2.39, 4 Y 2.53
I 0.1740 0.1740 0.3139  2 Ho 3.08, 1 Y 3.15
I 0.5000 0.5000 0.0000  4 Y 3.25
I 0.8260 0.8260 0.6861  2 Ho 3.08, 1 Y 3.15
Cl 0.1504 0.1504 0.7953  2 Ho 2.73, 1 Y 2.76
Cl 0.8496 0.8496 0.2047  2 Ho 2.73, 1 Y 2.76

Values from the calculation:
symmetry = C2/m (12)

---

Need the numbers? Relative energies in meV/atom: 1 15; 2 0.

---

1:
Here is a geometry-optimized Y2Ho2CI3Cl2 structure from the Open Quantum Materials Database. Energies are from PBE-GGA.

a = 9.2159 Å, b = 9.2159 Å, c = 8.5033 Å
α = 102.24°, β = 102.24°, γ = 24.36°
Last column: nearest neighbours and their distance in Å.
Fractional coordinates of all 10 atoms:
Y 0.1356 0.1356 0.0591  1 C 2.39
Y 0.8644 0.8644 0.9409  1 C 2.39
Ho 0.4989 0.4989 0.1896  2 C 2.53
Ho 0.5011 0.5011 0.8104  2 C 2.53
C 0.0000 0.0000 0.0000  2 Y 2.39, 4 Ho 2.53
I 0.0000 0.0000 0.5000  4 Ho 3.27
I 0.3285 0.3285 0.6612  2 Y 3.03, 1 Ho 3.09
I 0.6715 0.6715 0.3388  2 Y 3.03, 1 Ho 3.09
Cl 0.3389 0.3389 0.1539  2 Y 2.76, 1 Ho 2.83
Cl 0.6611 0.6611 0.8461  2 Y 2.76, 1 Ho 2.83

Values from the calculation:
symmetry = C2/m (12)

---

2:
Here is a geometry-optimized Y2Ho2CI3Cl2 structure from the Open Quantum Materials Database. Energies are from PBE-GGA.

a = 9.3060 Å, b = 9.3060 Å, c = 8.4120 Å
α = 99.86°, β = 99.86°, γ = 24.05°
Last column: nearest neighbours and their distance in Å.
Fractional coordinates of all 10 atoms:
Y 0.1343 0.1343 0.0645  1 C 2.41
Y 0.8657 0.8657 0.9355  1 C 2.41
Ho 0.4980 0.4980 0.1900  2 C 2.52, 1 Cl 2.73
Ho 0.5020 0.5020 0.8100  2 C 2.52, 1 Cl 2.73
C 0.0000 0.0000 0.0000  2 Y 2.41, 4 Ho 2.52
I 0.0000 0.0000 0.5000  4 Ho 3.24
I 0.3256 0.3256 0.1932  3 Y 3.09-3.46, 1 Ho 3.14
I 0.6744 0.6744 0.8068  3 Y 3.09-3.46, 1 Ho 3.14
Cl 0.3515 0.3515 0.7021  1 Ho 2.73, 2 Y 2.74
Cl 0.6485 0.6485 0.2979  1 Ho 2.73, 2 Y 2.74

Values from the calculation:
symmetry = C2/m (12)

---

Need the numbers? Relative energies in meV/atom: 1 19; 2 0.

---

1:
Here is a geometry-optimized Y2Ho2CI4Cl structure from the Open Quantum Materials Database. Energies are from PBE-GGA.

a = 9.8244 Å, b = 9.8244 Å, c = 8.1934 Å
α = 101.56°, β = 101.56°, γ = 22.90°
Last column: nearest neighbours and their distance in Å.
Fractional coordinates of all 10 atoms:
Y 0.0008 0.0008 0.2969  2 C 2.57
Y 0.9992 0.9992 0.7031  2 C 2.57
Ho 0.3738 0.3738 0.4368  1 C 2.38
Ho 0.6262 0.6262 0.5632  1 C 2.38
C 0.5000 0.5000 0.5000  2 Ho 2.38, 4 Y 2.57
I 0.1615 0.1615 0.8497  2 Ho 3.02, 1 Y 3.11
I 0.1665 0.1665 0.3137  2 Ho 3.04, 1 Y 3.16
I 0.8335 0.8335 0.6863  2 Ho 3.04, 1 Y 3.16
I 0.8385 0.8385 0.1503  2 Ho 3.02, 1 Y 3.11
Cl 0.5000 0.5000 0.0000  4 Y 3.12

Values from the calculation:
symmetry = C2/m (12)

---

2:
Here is a geometry-optimized Y2Ho2CI4Cl structure from the Open Quantum Materials Database. Energies are from PBE-GGA.

a = 9.7722 Å, b = 9.7722 Å, c = 8.2118 Å
α = 101.67°, β = 101.67°, γ = 22.97°
Last column: nearest neighbours and their distance in Å.
Fractional coordinates of all 10 atoms:
Y 0.1283 0.1283 0.0642  1 C 2.40
Y 0.8717 0.8717 0.9358  1 C 2.40
Ho 0.4992 0.4992 0.2005  2 C 2.55
Ho 0.5008 0.5008 0.7995  2 C 2.55
C 0.0000 0.0000 0.0000  2 Y 2.40, 4 Ho 2.55
I 0.3337 0.3337 0.1895  2 Y 3.05, 1 Ho 3.15
I 0.3389 0.3389 0.6478  2 Y 3.03, 1 Ho 3.09
I 0.6611 0.6611 0.3522  2 Y 3.03, 1 Ho 3.09
I 0.6663 0.6663 0.8105  2 Y 3.05, 1 Ho 3.15
Cl 0.0000 0.0000 0.5000  4 Ho 3.13

Values from the calculation:
symmetry = C2/m (12)

---

Need the numbers? Relative energies in meV/atom: 1 0; 2 6.

---

1:
Here is a geometry-optimized La2Ho2CCl5 structure from the Open Quantum Materials Database. Energies are from PBE-GGA.

a = 8.8785 Å, b = 8.8785 Å, c = 8.3957 Å
α = 102.52°, β = 102.52°, γ = 25.09°
Last column: nearest neighbours and their distance in Å.
Fractional coordinates of all 10 atoms:
La 0.0012 0.0012 0.2846  2 C 2.65, 1 Cl 2.92
La 0.9988 0.9988 0.7154  2 C 2.65, 1 Cl 2.92
Ho 0.3584 0.3584 0.4304  1 C 2.39
Ho 0.6416 0.6416 0.5696  1 C 2.39
C 0.5000 0.5000 0.5000  2 Ho 2.39, 4 La 2.65
Cl 0.1716 0.1716 0.8015  2 Ho 2.71, 1 La 2.92
Cl 0.1769 0.1769 0.3620  3 Ho 2.76-3.07, 1 La 2.97
Cl 0.5000 0.5000 0.0000  4 La 3.07
Cl 0.8231 0.8231 0.6380  3 Ho 2.76-3.07, 1 La 2.97
Cl 0.8284 0.8284 0.1985  2 Ho 2.71, 1 La 2.92

Values from the calculation:
symmetry = C2/m (12)

---

2:
Here is a geometry-optimized La2Ho2CCl5 structure from the Open Quantum Materials Database. Energies are from PBE-GGA.

a = 9.0143 Å, b = 9.0143 Å, c = 7.8606 Å
α = 106.15°, β = 106.15°, γ = 24.06°
Last column: nearest neighbours and their distance in Å.
Fractional coordinates of all 10 atoms:
La 0.1526 0.1526 0.1016  1 C 2.58, 2 Cl 2.86
La 0.8474 0.8474 0.8984  1 C 2.58, 2 Cl 2.86
Ho 0.4989 0.4989 0.2085  2 C 2.50, 2 Cl 2.71-2.78
Ho 0.5011 0.5011 0.7915  2 C 2.50, 2 Cl 2.71-2.78
C 0.0000 0.0000 0.0000  4 Ho 2.50, 2 La 2.58
Cl 0.0000 0.0000 0.5000  4 Ho 2.96
Cl 0.3380 0.3380 0.1769  1 Ho 2.78, 2 La 2.92
Cl 0.3443 0.3443 0.6215  1 Ho 2.71, 2 La 2.86
Cl 0.6557 0.6557 0.3785  1 Ho 2.71, 2 La 2.86
Cl 0.6620 0.6620 0.8231  1 Ho 2.78, 2 La 2.92

Values from the calculation:
symmetry = C2/m (12)

---

Need the numbers? Relative energies in meV/atom: 1 5; 2 0.